1.
VASP calculation (PBE-GGA) on an optimized crystal structure of RbCd10Bi.

Summary:
ΔE_f	0.04	eV per atom
Fermi-level density of states	5.17	states/eV per cell
energy	-1.128	eV/atom

CIF file:
```
data_RbCd10Bi
_space_group_name_H-M_alt 'P m m m'
_space_group_IT_number 47
_cell_length_a 4.8824
_cell_length_b 6.2984
_cell_length_c 10.5286
_cell_angle_alpha 90.00
_cell_angle_beta 90.00
_cell_angle_gamma 90.00
loop_
_space_group_symop_operation_xyz
'x,y,z'
'-x,-y,-z'
'-x,-y,z'
'x,y,-z'
'x,-y,-z'
'-x,y,z'
'-x,y,-z'
'x,-y,z'
loop_
_atom_site_label
_atom_site_fract_x
_atom_site_fract_y
_atom_site_fract_z
Rb1 0.0000 0.0000 0.0000
Cd1 0.0000 0.0000 0.3448
Cd2 0.0000 0.5000 0.1828
Cd3 0.5000 0.0000 0.5000
Cd4 0.5000 0.2469 0.2493
Cd5 0.5000 0.5000 0.0000
Bi1 0.0000 0.5000 0.5000
```

2.
VASP calculation (PBE-GGA) on an optimized crystal structure of Rb2Cd2Bi.

Summary:
ΔE_f	0.20	eV per atom
Fermi-level density of states	7.69	states/eV per cell
energy	-1.334	eV/atom

CIF file:
```
data_Rb2Cd2Bi
_space_group_name_H-M_alt 'I 4/m m m'
_space_group_IT_number 139
_space_group_name_Hall '-I 4 2'
_cell_length_a 5.5892
_cell_length_b 5.5892
_cell_length_c 13.7971
_cell_angle_alpha 90.00
_cell_angle_beta 90.00
_cell_angle_gamma 90.00
loop_
_atom_site_label
_atom_site_fract_x
_atom_site_fract_y
_atom_site_fract_z
Rb1 0.0000 0.5000 0.2500
Cd1 0.0000 0.0000 0.0983
Bi1 0.0000 0.0000 0.5000
```

3.
VASP calculation (PBE-GGA) on an optimized crystal structure of Rb2CdBi.

Summary:
ΔE_f	-0.09	eV per atom
Fermi-level density of states	19.93	states/eV per cell
energy	-1.771	eV/atom

CIF file:
```
data_Rb2CdBi
_space_group_name_H-M_alt 'F m -3 m'
_space_group_IT_number 225
_space_group_name_Hall '-F 4 2 3'
_cell_length_a 8.8340
_cell_length_b 8.8340
_cell_length_c 8.8340
_cell_angle_alpha 90.00
_cell_angle_beta 90.00
_cell_angle_gamma 90.00
loop_
_atom_site_label
_atom_site_fract_x
_atom_site_fract_y
_atom_site_fract_z
Rb1 0.2500 0.2500 0.2500
Cd1 0.0000 0.0000 0.0000
Bi1 0.0000 0.0000 0.5000
```

4.
VASP calculation (PBE-GGA) on an optimized crystal structure of Rb3Cd5Bi2.

Summary:
ΔE_f	-0.15	eV per atom
Fermi-level density of states	11.75	states/eV per cell
energy	-1.678	eV/atom

CIF file:
```
data_Rb3Cd5Bi2
_space_group_name_H-M_alt 'I b a m'
_space_group_IT_number 72
_space_group_name_Hall '-I 2 2c'
_cell_length_a 12.0656
_cell_length_b 16.5995
_cell_length_c 7.2869
_cell_angle_alpha 90.00
_cell_angle_beta 90.00
_cell_angle_gamma 90.00
loop_
_atom_site_label
_atom_site_fract_x
_atom_site_fract_y
_atom_site_fract_z
Rb1 0.0000 0.0000 0.2500
Rb2 0.2291 0.3692 0.0000
Cd1 0.0000 0.2396 0.2500
Cd2 0.0000 0.5000 0.2500
Cd3 0.0927 0.3691 0.5000
Bi1 0.1591 0.1497 0.0000
```

5.
VASP calculation (PBE-GGA) on an optimized crystal structure of Rb3Cd2Bi2.

Summary:
ΔE_f	-0.28	eV per atom
Fermi-level density of states	5.88	states/eV per cell
energy	-2.062	eV/atom

CIF file:
```
data_Rb3Cd2Bi2
_space_group_name_H-M_alt 'P b c m'
_space_group_IT_number 57
_cell_length_a 7.0920
_cell_length_b 10.5348
_cell_length_c 15.8264
_cell_angle_alpha 90.00
_cell_angle_beta 90.00
_cell_angle_gamma 90.00
loop_
_space_group_symop_operation_xyz
'x,y,z'
'-x,-y,-z'
'-x,-y,z+1/2'
'x,y,-z+1/2'
'x,-y+1/2,-z'
'-x,y+1/2,z'
'-x,y+1/2,-z+1/2'
'x,-y+1/2,z+1/2'
loop_
_atom_site_label
_atom_site_fract_x
_atom_site_fract_y
_atom_site_fract_z
Rb1 0.1140 0.1380 0.1091
Rb2 0.3358 0.7266 0.7500
Cd1 0.3860 0.0241 0.5839
Bi1 0.1887 0.0692 0.7500
Bi2 0.3896 0.7500 0.0000
```

6.
VASP calculation (PBE-GGA) on an optimized crystal structure of Rb2CdBi.

Summary:
ΔE_f	-0.22	eV per atom
Fermi-level density of states	11.02	states/eV per cell
energy	-1.904	eV/atom

CIF file:
```
data_Rb2CdBi
_space_group_name_H-M_alt 'C m c m'
_space_group_IT_number 63
_space_group_name_Hall '-C 2c 2'
_cell_length_a 11.4541
_cell_length_b 9.4349
_cell_length_c 6.5431
_cell_angle_alpha 90.00
_cell_angle_beta 90.00
_cell_angle_gamma 90.00
loop_
_atom_site_label
_atom_site_fract_x
_atom_site_fract_y
_atom_site_fract_z
Rb1 0.1739 0.1480 0.2500
Cd1 0.0000 0.5000 0.0000
Bi1 0.0000 0.2276 0.7500
```

7.
VASP calculation (PBE-GGA) on an optimized crystal structure of Rb5Cd2Bi4.

Summary:
ΔE_f	-0.18	eV per atom
Fermi-level density of states	10.73	states/eV per cell
energy	-2.200	eV/atom

CIF file:
```
data_Rb5Cd2Bi4
_space_group_name_H-M_alt 'C 1 2/m 1'
_space_group_IT_number 12
_cell_length_a 24.7936
_cell_length_b 3.8641
_cell_length_c 11.0272
_cell_angle_alpha 90.00
_cell_angle_beta 116.39
_cell_angle_gamma 90.00
loop_
_space_group_symop_operation_xyz
'x,y,z'
'-x,-y,-z'
'-x,y,-z'
'x,-y,z'
'x+1/2,y+1/2,z'
'-x+1/2,-y+1/2,-z'
'-x+1/2,y+1/2,-z'
'x+1/2,-y+1/2,z'
loop_
_atom_site_label
_atom_site_fract_x
_atom_site_fract_y
_atom_site_fract_z
Rb1 0.0000 0.0000 0.0000
Rb2 0.1631 0.5000 0.3934
Rb3 0.1630 0.5000 0.9329
Cd1 0.0753 0.0000 0.5755
Bi1 0.0001 0.5000 0.3130
Bi2 0.2094 0.0000 0.7095
```

8.
VASP calculation (PBE-GGA) on an optimized crystal structure of Rb2CdBi.

Summary:
ΔE_f	-0.23	eV per atom
Fermi-level density of states	2.22	states/eV per cell
energy	-1.917	eV/atom

CIF file:
```
data_Rb2CdBi
_space_group_name_H-M_alt 'I m m 2'
_space_group_IT_number 44
_cell_length_a 6.2605
_cell_length_b 11.3269
_cell_length_c 5.9012
_cell_angle_alpha 90.00
_cell_angle_beta 90.00
_cell_angle_gamma 90.00
loop_
_space_group_symop_operation_xyz
'x,y,z'
'-x,-y,z'
'-x,y,z'
'x,-y,z'
'x+1/2,y+1/2,z+1/2'
'-x+1/2,-y+1/2,z+1/2'
'-x+1/2,y+1/2,z+1/2'
'x+1/2,-y+1/2,z+1/2'
loop_
_atom_site_label
_atom_site_fract_x
_atom_site_fract_y
_atom_site_fract_z
Rb1 0.0000 0.1807 0.0000
Cd1 0.0000 0.5000 0.1877
Bi1 0.0000 0.5000 0.6869
```

9.
VASP calculation (PBE-GGA) on an optimized crystal structure of Rb2Cd2Bi.

Summary:
ΔE_f	0.10	eV per atom
Fermi-level density of states	7.62	states/eV per cell
energy	-1.428	eV/atom

CIF file:
```
data_Rb2Cd2Bi
_space_group_name_H-M_alt 'P 4/m b m'
_space_group_IT_number 127
_space_group_name_Hall '-P 4 2ab'
_cell_length_a 10.6194
_cell_length_b 10.6194
_cell_length_c 3.5869
_cell_angle_alpha 90.00
_cell_angle_beta 90.00
_cell_angle_gamma 90.00
loop_
_atom_site_label
_atom_site_fract_x
_atom_site_fract_y
_atom_site_fract_z
Rb1 0.1904 0.3096 0.0000
Cd1 0.1030 0.6030 0.5000
Bi1 0.0000 0.0000 0.0000
```

10.
VASP calculation (PBE-GGA) on an optimized crystal structure of Rb2CdBi.

Summary:
ΔE_f	0.11	eV per atom
Fermi-level density of states	6.29	states/eV per cell
energy	-1.574	eV/atom

CIF file:
```
data_Rb2CdBi
_space_group_name_H-M_alt 'I -4 2 d'
_space_group_IT_number 122
_space_group_name_Hall 'I -4 2bw'
_cell_length_a 5.3550
_cell_length_b 5.3550
_cell_length_c 24.7063
_cell_angle_alpha 90.00
_cell_angle_beta 90.00
_cell_angle_gamma 90.00
loop_
_atom_site_label
_atom_site_fract_x
_atom_site_fract_y
_atom_site_fract_z
Rb1 0.2424 0.2500 0.1250
Cd1 0.0000 0.0000 0.0000
Bi1 0.0000 0.0000 0.5000
```

11.
VASP calculation (PBE-GGA) on an optimized crystal structure of Rb2CdBi.

Summary:
ΔE_f	-0.11	eV per atom
Fermi-level density of states	3.11	states/eV per cell
energy	-1.788	eV/atom

CIF file:
```
data_Rb2CdBi
_space_group_name_H-M_alt 'P 4/m m m'
_space_group_IT_number 123
_space_group_name_Hall '-P 4 2'
_cell_length_a 6.5827
_cell_length_b 6.5827
_cell_length_c 3.9494
_cell_angle_alpha 90.00
_cell_angle_beta 90.00
_cell_angle_gamma 90.00
loop_
_atom_site_label
_atom_site_fract_x
_atom_site_fract_y
_atom_site_fract_z
Rb1 0.0000 0.5000 0.0000
Cd1 0.0000 0.0000 0.5000
Bi1 0.5000 0.5000 0.5000
```

12.
VASP calculation (PBE-GGA) on an optimized crystal structure of Rb2Cd2Bi3.

Summary:
ΔE_f	-0.19	eV per atom
Fermi-level density of states	7.62	states/eV per cell
energy	-2.393	eV/atom

CIF file:
```
data_Rb2Cd2Bi3
_space_group_name_H-M_alt 'C 1 2/m 1'
_space_group_IT_number 12
_cell_length_a 13.2771
_cell_length_b 5.0471
_cell_length_c 8.6518
_cell_angle_alpha 90.00
_cell_angle_beta 118.74
_cell_angle_gamma 90.00
loop_
_space_group_symop_operation_xyz
'x,y,z'
'-x,-y,-z'
'-x,y,-z'
'x,-y,z'
'x+1/2,y+1/2,z'
'-x+1/2,-y+1/2,-z'
'-x+1/2,y+1/2,-z'
'x+1/2,-y+1/2,z'
loop_
_atom_site_label
_atom_site_fract_x
_atom_site_fract_y
_atom_site_fract_z
Rb1 0.1546 0.0000 0.3010
Cd1 0.1423 0.0000 0.7634
Bi1 0.0000 0.5000 0.5000
Bi2 0.0991 0.5000 0.9474
```